8
Lattice="-3.960 3.960 4.436 3.960 -3.960 4.436 3.960 3.960 -4.436" Properties=species:S:1:pos:R:3 comment="Ba2HgH, relaxed, DFT PBE-GGA" magnetic_moment_mub_per_cell=0.000 e_tot_ev_per_atom=-2.204 e_above_lowest_polymorph_kj_per_mol_fu=39 rho_g_cm3=5.7 pbc="T T T"
Ba 5.939 1.309 -1.109
Ba 1.309 1.980 1.109
Ba -1.980 2.651 3.327
Ba 2.651 1.980 5.544
Hg 3.960 0.000 2.218
Hg 0.000 0.000 4.436
H 0.000 0.000 0.000
H 0.000 3.960 2.218